No. 1
Below is a relaxed Hg4AsI5 crystal, with properties calculated at the PBEsol level.

extended XYZ file:
```
40
Lattice="5.949 -6.013 0.000 5.949 6.013 0.000 0.000 0.000 19.752" Properties=species:S:1:pos:R:3 pbc="T T T"
Hg 5.949 5.317 16.416
Hg 1.982 1.247 13.267
Hg 3.966 1.247 16.362
Hg 5.949 3.242 13.250
Hg 1.982 -1.247 6.486
Hg 5.949 2.772 3.374
Hg 3.966 -1.247 3.390
Hg 5.949 0.696 6.540
Hg 5.949 -0.696 13.212
Hg 7.931 1.247 16.362
Hg 5.949 -2.772 16.378
Hg 9.915 1.247 13.267
Hg 5.949 -3.242 6.502
Hg 7.931 -1.247 3.390
Hg 9.915 -1.247 6.486
Hg 5.949 -5.317 3.336
As 5.949 4.752 4.928
As 5.949 1.261 14.804
As 5.949 -1.261 4.948
As 5.949 -4.752 14.824
I 2.038 1.339 18.194
I 5.949 5.230 11.473
I 2.974 1.707 4.938
I 3.911 1.339 11.435
I 5.949 3.335 18.197
I 5.949 2.679 8.320
I 2.038 -1.339 1.558
I 2.974 -1.707 14.814
I 5.949 0.783 1.597
I 3.911 -1.339 8.318
I 7.987 1.339 11.435
I 5.949 -0.783 18.155
I 8.923 1.707 4.938
I 9.859 1.339 18.194
I 5.949 -2.679 11.432
I 5.949 -3.335 1.556
I 7.987 -1.339 8.318
I 8.923 -1.707 14.814
I 5.949 -5.230 8.279
I 9.859 -1.339 1.558
```

Summary:
For the theoretical density, the calculation gives 7.11 g/cm3. Its symmetry is Cmce, No. 64. The size of the total moment comes out at 0.0 μB/f.u. The formation energy from raw total energies comes out at -0.211 eV per atom.

***

No. 2
Below is a relaxed HgAsI2 crystal, with properties calculated at the PBEsol level.

extended XYZ file:
```
16
Lattice="7.522 0.000 0.000 0.000 7.522 0.000 0.000 0.000 7.522" Properties=species:S:1:pos:R:3 pbc="T T T"
Hg 0.000 0.000 0.000
Hg 0.000 3.761 3.761
Hg 3.761 0.000 3.761
Hg 3.761 3.761 0.000
As 0.000 0.000 3.761
As 0.000 3.761 0.000
As 3.761 0.000 0.000
As 3.761 3.761 3.761
I 1.880 1.880 1.880
I 1.880 1.880 5.641
I 1.880 5.641 1.880
I 1.880 5.641 5.641
I 5.641 1.880 1.880
I 5.641 1.880 5.641
I 5.641 5.641 1.880
I 5.641 5.641 5.641
```

Summary:
For the theoretical density, the calculation gives 8.26 g/cm3. Its symmetry is Fm-3m, No. 225. The size of the total moment comes out at 0.0 μB/f.u. The density of states at the Fermi level is 0.7114 states/eV per atom. The formation energy from raw total energies comes out at 0.402 eV per atom.